No. 1
{
  "formula": "Ni3MoPt",
  "functional": "PBE-GGA",
  "state": "relaxed",
  "relative_energy_mev_per_atom": 0,
  "magmom_total_mub_per_fu": 0.0,
  "lattice_angstrom": [[4.609, 0.000, 0.000], [1.578, 5.011, 0.000], [1.490, 0.864, 5.565]],
  "species": ["Ni", "Ni", "Ni", "Ni", "Ni", "Ni", "Mo", "Mo", "Pt", "Pt"],
  "fractional_positions": [[0.097, 0.155, 0.288], [0.300, 0.452, 0.904], [0.310, 0.942, 0.905], [0.690, 0.058, 0.095], [0.700, 0.548, 0.096], [0.903, 0.845, 0.712], [0.484, 0.760, 0.511], [0.516, 0.240, 0.489], [0.090, 0.663, 0.293], [0.910, 0.337, 0.707]]
}

***

No. 2
{
  "formula": "Ni2MoPt",
  "functional": "PBE-GGA",
  "state": "relaxed",
  "total_energy_ev_per_fu": -26.87,
  "magmom_total_mub_per_fu": 0.0,
  "lattice_angstrom": [[-3.333, 3.333, 2.604], [3.333, -3.333, 2.604], [3.333, 3.333, -2.604]],
  "species": ["Ni", "Ni", "Ni", "Ni", "Mo", "Mo", "Pt", "Pt"],
  "fractional_positions": [[0.113, 0.125, 0.488], [0.375, 0.887, 0.012], [0.637, 0.625, 0.512], [0.875, 0.363, 0.988], [0.000, 0.000, 0.000], [0.750, 0.250, 0.500], [0.250, 0.750, 0.500], [0.500, 0.500, 0.000]]
}

***

No. 3
{
  "formula": "NiMo2Pt",
  "functional": "PBE-GGA",
  "state": "relaxed",
  "relative_energy_mev_per_atom": 471,
  "magmom_total_mub_per_fu": 0.0,
  "lattice_angstrom": [[0.000, 3.103, 3.103], [3.103, 0.000, 3.103], [3.103, 3.103, 0.000]],
  "species": ["Ni", "Mo", "Mo", "Pt"],
  "fractional_positions": [[0.000, 0.000, 0.000], [0.250, 0.250, 0.250], [0.750, 0.750, 0.750], [0.500, 0.500, 0.500]]
}